Compound: BaNi2P4
Source: OQMD via LeMat-Bulk
Functional: PBE-GGA
Structure: relaxed

Results
For the final energy, the calculation gives -4.76 eV/atom.

The structure in CIF format:
```
data_BaNi2P4
_chemical_formula_sum 'Ba2 Ni4 P8'
_cell_length_a 6.653
_cell_length_b 7.510
_cell_length_c 9.531
_cell_angle_alpha 90.00
_cell_angle_beta 90.00
_cell_angle_gamma 90.00
_space_group_name_H-M_alt 'I m m m'
_space_group_IT_number 71
_space_group_name_Hall '-I 2 2'
loop_
_atom_site_label
_atom_site_type_symbol
_atom_site_fract_x
_atom_site_fract_y
_atom_site_fract_z
Ba1 Ba 0.000 0.000 0.000
Ni1 Ni 0.000 0.347 0.000
P1 P 0.000 0.000 0.334
P2 P 0.223 0.000 0.500
```



Compound: BaNi2SbP
Source: OQMD via LeMat-Bulk
Functional: PBE-GGA
Structure: relaxed

Results
For the final energy, the calculation gives -5.14 eV/atom.

The structure in CIF format:
```
data_BaNi2SbP
_chemical_formula_sum 'Ba2 Ni4 Sb2 P2'
_cell_length_a 4.162
_cell_length_b 4.162
_cell_length_c 12.077
_cell_angle_alpha 90.00
_cell_angle_beta 90.00
_cell_angle_gamma 90.00
_space_group_name_H-M_alt 'I 4 m m'
_space_group_IT_number 107
_space_group_name_Hall 'I 4 -2'
loop_
_atom_site_label
_atom_site_type_symbol
_atom_site_fract_x
_atom_site_fract_y
_atom_site_fract_z
Ba1 Ba 0.000 0.000 0.000
Ni1 Ni 0.000 0.500 0.276
Sb1 Sb 0.000 0.000 0.658
P1 P 0.000 0.000 0.349
```



Compound: BaZnNiP2
Source: OQMD via LeMat-Bulk
Functional: PBE-GGA
Structure: relaxed

Results
For the final energy, the calculation gives -4.54 eV/atom.

The structure in CIF format:
```
data_BaZnNiP2
_chemical_formula_sum 'Ba2 Zn2 Ni2 P4'
_cell_length_a 3.987
_cell_length_b 3.987
_cell_length_c 12.415
_cell_angle_alpha 90.00
_cell_angle_beta 90.00
_cell_angle_gamma 90.00
_space_group_name_H-M_alt 'I -4 m 2'
_space_group_IT_number 119
_space_group_name_Hall 'I -4 -2'
loop_
_atom_site_label
_atom_site_type_symbol
_atom_site_fract_x
_atom_site_fract_y
_atom_site_fract_z
Ba1 Ba 0.000 0.000 0.000
Zn1 Zn 0.000 0.500 0.250
Ni1 Ni 0.000 0.500 0.750
P1 P 0.000 0.000 0.354
```



Compound: BaNi3Pb6
Source: OQMD via LeMat-Bulk
Functional: PBE-GGA
Structure: relaxed

Results
For the final energy, the calculation gives -4.18 eV/atom.

The structure in CIF format:
```
data_BaNi3Pb6
_chemical_formula_sum 'Ba4 Ni12 Pb24'
_cell_length_a 8.457
_cell_length_b 27.121
_cell_length_c 4.433
_cell_angle_alpha 90.00
_cell_angle_beta 90.00
_cell_angle_gamma 90.00
_space_group_name_H-M_alt 'C m c m'
_space_group_IT_number 63
_space_group_name_Hall '-C 2c 2'
loop_
_atom_site_label
_atom_site_type_symbol
_atom_site_fract_x
_atom_site_fract_y
_atom_site_fract_z
Ba1 Ba 0.000 0.087 0.250
Ni1 Ni 0.000 0.465 0.750
Ni2 Ni 0.185 0.279 0.750
Pb1 Pb 0.000 0.248 0.250
Pb2 Pb 0.000 0.364 0.750
Pb3 Pb 0.197 0.454 0.250
Pb4 Pb 0.202 0.173 0.750
```



Compound: Ba2Ni3Pb2
Source: OQMD via LeMat-Bulk
Functional: PBE-GGA
Structure: relaxed

Results
For the final energy, the calculation gives -4.10 eV/atom.

The structure in CIF format:
```
data_Ba2Ni3Pb2
_chemical_formula_sum 'Ba6 Ni9 Pb6'
_cell_length_a 4.5171
_cell_length_b 4.5171
_cell_length_c 32.2628
_cell_angle_alpha 90.00
_cell_angle_beta 90.00
_cell_angle_gamma 120.00
_space_group_name_H-M_alt 'R 3 m'
_space_group_IT_number 160
_space_group_name_Hall 'R 3 -2"'
loop_
_atom_site_label
_atom_site_type_symbol
_atom_site_fract_x
_atom_site_fract_y
_atom_site_fract_z
Ba1 Ba 0.0000 0.0000 0.0000
Ba2 Ba 0.0000 0.0000 0.4936
Ni1 Ni 0.0000 0.0000 0.3963
Ni2 Ni 0.0000 0.0000 0.5894
Ni3 Ni 0.0000 0.0000 0.9017
Pb1 Pb 0.0000 0.0000 0.2459
Pb2 Pb 0.0000 0.0000 0.7470
```



Compound: BaTlNiPb
Source: OQMD via LeMat-Bulk
Functional: PBE-GGA
Structure: relaxed

Results
For the final energy, the calculation gives -3.61 eV/atom.

The structure in CIF format:
```
data_BaTlNiPb
_chemical_formula_sum 'Ba4 Tl4 Ni4 Pb4'
_cell_length_a 8.017
_cell_length_b 4.484
_cell_length_c 12.414
_cell_angle_alpha 90.00
_cell_angle_beta 90.00
_cell_angle_gamma 90.00
_space_group_name_H-M_alt 'A m m 2'
_space_group_IT_number 38
loop_
_space_group_symop_operation_xyz
'x,y,z'
'-x,-y,z'
'-x,y,z'
'x,-y,z'
'x,y+1/2,z+1/2'
'-x,-y+1/2,z+1/2'
'-x,y+1/2,z+1/2'
'x,-y+1/2,z+1/2'
loop_
_atom_site_label
_atom_site_type_symbol
_atom_site_fract_x
_atom_site_fract_y
_atom_site_fract_z
Ba1 Ba 0.000 0.000 0.000
Ba2 Ba 0.500 0.000 0.109
Tl1 Tl 0.304 0.000 0.397
Ni1 Ni 0.000 0.000 0.272
Ni2 Ni 0.500 0.000 0.832
Pb1 Pb 0.196 0.000 0.718
```